16
Lattice="5.215 0.000 0.000 0.000 7.424 0.000 0.000 0.000 10.430" Properties=species:S:1:pos:R:3 comment="GGA-PBE SrSm3Zn4, optimized geometry" magmom_total_mub_per_fu=0.08 space_group="P4/mmm, No. 123" dos_at_fermi_per_ev_cell=15.60 formation_energy_kj_per_mol_fu=-200 pbc="T T T"
Sr 0.000 3.712 0.000
Sr 0.000 3.712 5.215
Zn 2.607 5.667 0.000
Zn 2.607 5.667 5.215
Zn 2.607 1.756 0.000
Zn 2.607 1.756 5.215
Zn 5.210 5.667 7.822
Zn 0.005 5.667 2.607
Zn 0.005 1.756 2.607
Zn 5.210 1.756 7.822
Sm 0.000 0.000 0.000
Sm 0.000 0.000 5.215
Sm 2.604 0.000 7.822
Sm 2.611 0.000 2.607
Sm 2.604 3.712 7.822
Sm 2.611 3.712 2.607


6
Lattice="-0.095 -0.533 -3.771 -2.921 -3.421 0.557 -6.129 5.139 -0.573" Properties=species:S:1:pos:R:3 comment="GGA-PBE SrSmZn4, optimized geometry" magmom_total_mub_per_fu=0.00 space_group="Pmmm, No. 47" dos_at_fermi_per_ev_cell=5.71 formation_energy_kj_per_mol_fu=-159 pbc="T T T"
Sr -6.060 -1.384 -3.495
Sm -7.664 2.896 -4.060
Zn -3.924 -2.869 -1.414
Zn -8.102 0.635 -1.805
Zn -5.626 1.494 -1.989
Zn -3.479 -0.307 -1.788


6
Lattice="-5.324 1.846 0.451 -3.205 -1.654 4.353 -1.378 3.688 4.056" Properties=species:S:1:pos:R:3 comment="GGA-PBE SrSmZn4, optimized geometry" magmom_total_mub_per_fu=0.00 space_group="F-43m, No. 216" dos_at_fermi_per_ev_cell=4.29 formation_energy_kj_per_mol_fu=-123 pbc="T T T"
Sr -2.477 0.970 2.215
Zn -5.512 0.559 3.494
Zn -4.584 3.274 3.344
Zn -6.213 2.433 5.556
Zn -3.507 1.495 5.327
Sm 0.000 0.000 0.000


6
Lattice="3.708 0.000 0.000 0.000 3.708 0.000 0.000 0.000 11.261" Properties=species:S:1:pos:R:3 comment="GGA-PBE SrSm2Zn3, optimized geometry" magmom_total_mub_per_fu=0.00 space_group="P4/mmm, No. 123" dos_at_fermi_per_ev_cell=4.50 formation_energy_kj_per_mol_fu=-158 pbc="T T T"
Sr 1.854 1.854 5.631
Sm 1.854 1.854 9.485
Sm 1.854 1.854 1.777
Zn 0.000 0.000 0.000
Zn 0.000 0.000 7.785
Zn 0.000 0.000 3.477


VASP energy / eV per atom: -2.88, -2.19, -2.13, -2.76